DFT (PBE) results for NdSm3Sn after structural relaxation.

- Density of states at the Fermi level: 1.2853 states/eV/atom
- Space-group type: No. 46
- Formation energy from the elements: 0.07 eV per atom
- E: -45.14 eV/cell

Unit cell a=7.8914 b=7.8914 c=7.8914 alpha=88.38 beta=114.99 gamma=127.29
Fractional positions:
Nd  0.2388  0.2500  0.4888
Nd  0.7612  0.7500  0.5112
Sm  0.1359  0.4556  0.1804
Sm  0.1896  0.4602  0.7888
Sm  0.1896  0.9007  0.2293
Sm  0.2752  0.9556  0.8196
Sm  0.6714  0.4007  0.2112
Sm  0.6714  0.9602  0.7707
Sn  0.6400  0.9572  0.1828
Sn  0.7744  0.4572  0.8172

---

DFT (PBE) results for Sr3NbCd after structural relaxation.

- Density of states at the Fermi level: 0.9611 states/eV/atom
- Space-group type: No. 221
- Formation energy from the elements: 0.78 eV per atom
- E: -12.11 eV/cell

Unit cell a=5.9101 b=5.9101 c=5.9101 alpha=90.00 beta=90.00 gamma=90.00
Fractional positions:
Sr  0.0000  0.0000  0.5000
Sr  0.0000  0.5000  0.0000
Sr  0.5000  0.0000  0.0000
Nb  0.0000  0.0000  0.0000
Cd  0.5000  0.5000  0.5000

---

DFT (PBE) results for Ga2IrPbCl after structural relaxation.

- Density of states at the Fermi level: 0.1637 states/eV/atom
- Formation energy without anion corrections: -0.465 eV per atom
- Space-group type: No. 123
- E: -22.79 eV/cell

Unit cell a=4.8462 b=4.8462 c=5.3010 alpha=90.00 beta=90.00 gamma=90.00
Fractional positions:
Ga  0.0000  0.5000  0.0000
Ga  0.5000  0.0000  0.0000
Ir  0.0000  0.0000  0.0000
Pb  0.0000  0.0000  0.5000
Cl  0.5000  0.5000  0.5000

---

DFT (PBE) results for Sr2ScCr after structural relaxation.

- Density of states at the Fermi level: 1.3657 states/eV/atom
- Space-group type: No. 166
- Formation energy from the elements: 0.73 eV per atom
- E: -49.17 eV/cell

Unit cell a=3.7561 b=3.7561 c=34.2080 alpha=90.00 beta=90.00 gamma=120.00
Fractional positions:
Sr  0.0000  0.0000  0.2453
Sr  0.0000  0.0000  0.7547
Sr  0.3333  0.6667  0.4214
Sr  0.3333  0.6667  0.9119
Sr  0.6667  0.3333  0.0881
Sr  0.6667  0.3333  0.5786
Sc  0.0000  0.0000  0.0000
Sc  0.3333  0.6667  0.6667
Sc  0.6667  0.3333  0.3333
Cr  0.0000  0.0000  0.5000
Cr  0.3333  0.6667  0.1667
Cr  0.6667  0.3333  0.8333